(1)
# RbVInO4

A relaxed structure of RbVInO4 (PBE with a Hubbard U, Alexandria via LeMat-Bulk).

```
RbVInO4
1.0
-1.6042 -4.6136 3.6051
-0.6914 -3.5922 -4.9048
7.5315 -0.4062 -0.7642
V O In Rb
2 8 2 2
Direct
0.7362 0.2500 0.6655
0.2638 0.7500 0.3345
0.3815 0.7500 0.1547
0.9315 0.4747 0.6703
0.9315 0.0253 0.6703
0.6185 0.2500 0.8453
0.4854 0.7500 0.5384
0.0685 0.9747 0.3297
0.5146 0.2500 0.4616
0.0685 0.5253 0.3297
0.1778 0.2500 0.5290
0.8222 0.7500 0.4710
0.7046 0.7500 0.9377
0.2954 0.2500 0.0623
```

Summary:
Magnetization ... 0.44 μB/f.u.
V ... 19.30 A^3/atom
DOS(E_F) ... 0.206 states/eV/atom
DFT total energy ... -6.0729 eV per atom

***

(2)
# Rb2InWO6

A relaxed structure of Rb2InWO6 (PBE with a Hubbard U, Alexandria via LeMat-Bulk).

```
Rb2InWO6
1.0
6.1414 0.0000 0.0000
3.0707 5.3186 0.0000
3.0707 1.7729 9.9227
In O Rb W
2 12 4 2
Direct
0.5992 0.5992 0.2025
0.4008 0.4008 0.7975
0.1886 0.7354 0.8874
0.3964 0.3964 0.3783
0.8114 0.2646 0.1126
0.3964 0.8289 0.3783
0.8114 0.8114 0.1126
0.1886 0.1886 0.8874
0.6036 0.1711 0.6217
0.2646 0.8114 0.1126
0.6036 0.6036 0.6217
0.7354 0.1886 0.8874
0.1711 0.6036 0.6217
0.8289 0.3964 0.3783
0.2770 0.2770 0.1690
0.1297 0.1297 0.6108
0.7230 0.7230 0.8310
0.8703 0.8703 0.3892
0.5000 0.5000 0.5000
0.0000 0.0000 0.0000
```

Summary:
Magnetization ... 1.07 μB/f.u.
V ... 16.21 A^3/atom
DOS(E_F) ... 0.665 states/eV/atom
DFT total energy ... -5.8051 eV per atom